No. 1
VASP calculation (PBE-GGA) on an optimized crystal structure of SrAc6Tb.

Computed properties:
Total moment ... 0.00 μB per formula unit
Uncorrected energy ... -3.82 eV/atom

a b c (Å): 5.598 5.598 11.214
angles (deg): 90.00 90.00 90.00
Fractional coordinates of all 8 atoms:
Sr1 0.000 0.000 0.000
Ac1 0.000 0.500 0.261
Ac2 0.000 0.500 0.739
Ac3 0.500 0.000 0.261
Ac4 0.500 0.000 0.739
Ac5 0.500 0.500 0.000
Ac6 0.500 0.500 0.500
Tb1 0.000 0.000 0.500

No. 2
VASP calculation (PBE-GGA) on an optimized crystal structure of NiHgW2.

Computed properties:
Total moment ... 0.00 μB per formula unit
Uncorrected energy ... -7.52 eV/atom

a b c (Å): 2.738 4.228 5.675
angles (deg): 90.00 99.79 90.00
Fractional coordinates of all 4 atoms:
Ni1 0.000 0.000 0.000
Hg1 0.883 0.500 0.728
W1 0.308 0.000 0.451
W2 0.552 0.500 0.205

No. 3
VASP calculation (PBE-GGA) on an optimized crystal structure of Tb4PrIn2.

Computed properties:
Relative energy among the computed polymorphs ... 0.295 eV per atom
Total moment ... 0.00 μB per formula unit
Uncorrected energy ... -3.96 eV/atom

a b c (Å): 7.656 7.656 7.656
angles (deg): 135.11 135.11 65.37
Fractional coordinates of all 7 atoms:
Tb1 0.000 0.500 0.500
Tb2 0.250 0.750 0.500
Tb3 0.500 0.000 0.500
Tb4 0.750 0.250 0.500
Pr1 0.000 0.000 0.000
In1 0.376 0.376 0.000
In2 0.624 0.624 0.000

No. 4
VASP calculation (PBE-GGA) on an optimized crystal structure of YGa7Cu12.

Computed properties:
Total moment ... 0.00 μB per formula unit
Uncorrected energy ... -3.90 eV/atom

a b c (Å): 7.584 7.584 7.584
angles (deg): 112.44 112.44 112.44
Fractional coordinates of all 20 atoms:
Y1 0.000 0.000 0.000
Ga1 0.189 0.189 0.534
Ga2 0.189 0.534 0.189
Ga3 0.466 0.811 0.811
Ga4 0.500 0.500 0.500
Ga5 0.534 0.189 0.189
Ga6 0.811 0.466 0.811
Ga7 0.811 0.811 0.466
Cu1 0.000 0.270 0.730
Cu2 0.000 0.730 0.270
Cu3 0.059 0.398 0.398
Cu4 0.270 0.000 0.730
Cu5 0.270 0.730 0.000
Cu6 0.398 0.059 0.398
Cu7 0.398 0.398 0.059
Cu8 0.602 0.602 0.941
Cu9 0.602 0.941 0.602
Cu10 0.730 0.000 0.270
Cu11 0.730 0.270 0.000
Cu12 0.941 0.602 0.602

No. 5
VASP calculation (PBE-GGA) on an optimized crystal structure of NaS2Br8.

Computed properties:
ΔE_f (raw) ... -0.11 eV per atom
Total moment ... 0.00 μB per formula unit
Uncorrected energy ... -2.20 eV/atom

a b c (Å): 9.603 9.603 7.044
angles (deg): 104.79 104.79 45.57
Fractional coordinates of all 11 atoms:
Na1 0.000 0.000 0.000
S1 0.141 0.141 0.667
S2 0.859 0.859 0.333
Br1 0.168 0.168 0.358
Br2 0.192 0.657 0.185
Br3 0.260 0.260 0.869
Br4 0.343 0.808 0.815
Br5 0.657 0.192 0.185
Br6 0.740 0.740 0.131
Br7 0.808 0.343 0.815
Br8 0.832 0.832 0.642

No. 6
VASP calculation (PBE-GGA) on an optimized crystal structure of AgPdS2N.

Computed properties:
ΔE_f (raw) ... 0.92 eV per atom
Relative energy among the computed polymorphs ... 0.000 eV per atom
Total moment ... 1.24 μB per formula unit
Uncorrected energy ... -4.00 eV/atom

a b c (Å): 4.965 4.965 3.694
angles (deg): 90.00 90.00 90.00
Fractional coordinates of all 5 atoms:
Ag1 0.000 0.000 0.000
Pd1 0.500 0.500 0.500
S1 0.000 0.500 0.500
S2 0.500 0.000 0.500
N1 0.500 0.500 0.000

> Which of these has the highest total moment?

AgPdS2N

> uncorrected energy of number 1 (SrAc6Tb)?

-3.82 eV/atom

> Which formula does entry 2 have?

NiHgW2

> Among the records above, which one has the lowest uncorrected energy?

NiHgW2